1.
Hf2NbHg2 | the Alexandria database | GGA-PBE | optimized geometry; space-group type = Cmmm, No. 65; volume = 22.0 A^3/atom; DFT total energy = -6.115 eV/atom; DFT formation energy = 0.001 eV/atom; DOS at the Fermi energy = 0.54 states/eV per atom
1.0
3.4876 0.0000 0.0000
0.0000 18.5890 0.0000
0.0000 0.0000 3.3937
Hf Nb Hg
4 2 4
direct
0.0000 0.0862 0.0000
0.0000 0.9138 0.0000
0.5000 0.4138 0.0000
0.5000 0.5862 0.0000
0.0000 0.5000 0.5000
0.5000 0.0000 0.5000
0.0000 0.3125 0.5000
0.0000 0.6875 0.5000
0.5000 0.1875 0.5000
0.5000 0.8125 0.5000

2.
Hf2NbHg4 | the Alexandria database | GGA-PBE | optimized geometry; space-group type = I4/mmm, No. 139; volume = 28.5 A^3/atom; DFT total energy = -3.738 eV/atom; DFT formation energy = 0.717 eV/atom; DOS at the Fermi energy = 1.21 states/eV per atom
1.0
5.3336 0.0000 0.0000
0.0000 5.3336 0.0000
0.0000 0.0000 14.0187
Hf Nb Hg
4 2 8
direct
0.0000 0.0000 0.0962
0.0000 0.0000 0.9038
0.5000 0.5000 0.4038
0.5000 0.5000 0.5962
0.0000 0.0000 0.5000
0.5000 0.5000 0.0000
0.0000 0.0000 0.3002
0.0000 0.0000 0.6998
0.0000 0.5000 0.0000
0.0000 0.5000 0.5000
0.5000 0.0000 0.0000
0.5000 0.0000 0.5000
0.5000 0.5000 0.1998
0.5000 0.5000 0.8002

3.
HfNb2Hg | the Alexandria database | GGA-PBE | optimized geometry; space-group type = I-42d, No. 122; volume = 21.2 A^3/atom; DFT total energy = -6.975 eV/atom; DFT formation energy = 0.624 eV/atom; DOS at the Fermi energy = 0.82 states/eV per atom
1.0
7.7728 0.0000 0.0000
0.0000 7.7728 0.0000
0.0000 0.0000 5.6252
Hf Nb Hg
4 8 4
direct
0.0000 0.0000 0.0000
0.0000 0.5000 0.2500
0.5000 0.0000 0.7500
0.5000 0.5000 0.5000
0.2397 0.2500 0.6250
0.2500 0.7397 0.8750
0.2500 0.7603 0.3750
0.2603 0.2500 0.1250
0.7397 0.7500 0.1250
0.7500 0.2397 0.3750
0.7500 0.2603 0.8750
0.7603 0.7500 0.6250
0.0000 0.0000 0.5000
0.0000 0.5000 0.7500
0.5000 0.0000 0.2500
0.5000 0.5000 0.0000

4.
HfNb2Hg | the Alexandria database | GGA-PBE | optimized geometry; space-group type = P4/mmm, No. 123; volume = 19.5 A^3/atom; DFT total energy = -7.531 eV/atom; DFT formation energy = 0.068 eV/atom; DOS at the Fermi energy = 0.94 states/eV per atom
1.0
4.1142 0.0000 0.0000
0.0000 4.1142 0.0000
0.0000 0.0000 4.5983
Hf Nb Hg
1 2 1
direct
0.0000 0.0000 0.0000
0.0000 0.5000 0.5000
0.5000 0.0000 0.5000
0.5000 0.5000 0.0000

5.
Hf4NbHg3 | the Alexandria database | GGA-PBE | optimized geometry; space-group type = P4/mmm, No. 123; volume = 21.1 A^3/atom; DFT total energy = -6.387 eV/atom; DFT formation energy = -0.038 eV/atom; DOS at the Fermi energy = 0.98 states/eV per atom
1.0
3.3335 0.0000 0.0000
0.0000 3.3335 0.0000
0.0000 0.0000 15.1735
Hf Nb Hg
4 1 3
direct
0.0000 0.0000 0.1125
0.0000 0.0000 0.3713
0.0000 0.0000 0.6287
0.0000 0.0000 0.8875
0.5000 0.5000 0.0000
0.5000 0.5000 0.2425
0.5000 0.5000 0.5000
0.5000 0.5000 0.7575

6.
HfNbHg3 | the Alexandria database | GGA-PBE | optimized geometry; space-group type = Pm-3m, No. 221; volume = 28.3 A^3/atom; DFT total energy = -2.938 eV/atom; DFT formation energy = 1.247 eV/atom; DOS at the Fermi energy = 1.36 states/eV per atom
1.0
5.2090 0.0000 0.0000
0.0000 5.2090 0.0000
0.0000 0.0000 5.2090
Hf Nb Hg
1 1 3
direct
0.0000 0.0000 0.0000
0.5000 0.5000 0.5000
0.0000 0.5000 0.5000
0.5000 0.0000 0.5000
0.5000 0.5000 0.0000

7.
Hf2NbHgPt | the Alexandria database | GGA-PBE | optimized geometry; space-group type = P4/mmm, No. 123; volume = 25.3 A^3/atom; DFT total energy = -6.517 eV/atom; DFT formation energy = 0.747 eV/atom; DOS at the Fermi energy = 1.32 states/eV per atom
1.0
5.0037 0.0000 0.0000
0.0000 5.0037 0.0000
0.0000 0.0000 5.0537
Hf Nb Hg Pt
2 1 1 1
direct
0.0000 0.5000 0.0000
0.5000 0.0000 0.0000
0.0000 0.0000 0.5000
0.5000 0.5000 0.5000
0.5000 0.5000 0.0000

8.
RbHfNb2Hg | the Alexandria database | GGA-PBE | optimized geometry; space-group type = P4/mmm, No. 123; volume = 34.3 A^3/atom; DFT total energy = -4.638 eV/atom; DFT formation energy = 1.634 eV/atom; DOS at the Fermi energy = 1.52 states/eV per atom
1.0
5.0347 0.0000 0.0000
0.0000 5.0347 0.0000
0.0000 0.0000 6.7726
Rb Hf Nb Hg
1 1 2 1
direct
0.0000 0.0000 0.0000
0.0000 0.0000 0.5000
0.0000 0.5000 0.5000
0.5000 0.0000 0.5000
0.5000 0.5000 0.0000

9.
Hf2NbHgTe | the Alexandria database | GGA-PBE | optimized geometry; space-group type = P4/mmm, No. 123; volume = 27.9 A^3/atom; DFT total energy = -5.342 eV/atom; DOS at the Fermi energy = 0.69 states/eV per atom; energy relative to the elements, uncorrected = 6.708 eV per formula unit
1.0
5.1801 0.0000 0.0000
0.0000 5.1801 0.0000
0.0000 0.0000 5.2071
Hf Nb Hg Te
2 1 1 1
direct
0.0000 0.5000 0.0000
0.5000 0.0000 0.0000
0.0000 0.0000 0.5000
0.5000 0.5000 0.5000
0.5000 0.5000 0.0000

10.
Hf2NbHgTe | the Alexandria database | GGA-PBE | optimized geometry; space-group type = P4/mmm, No. 123; volume = 27.8 A^3/atom; DFT total energy = -5.862 eV/atom; DOS at the Fermi energy = 0.63 states/eV per atom; energy relative to the elements, uncorrected = 4.110 eV per formula unit
1.0
5.0944 0.0000 0.0000
0.0000 5.0944 0.0000
0.0000 0.0000 5.3655
Hf Nb Hg Te
2 1 1 1
direct
0.0000 0.5000 0.0000
0.5000 0.0000 0.0000
0.0000 0.0000 0.0000
0.0000 0.0000 0.5000
0.5000 0.5000 0.5000

11.
HfTiNbHg | the Alexandria database | GGA-PBE | optimized geometry; space-group type = F-43m, No. 216; volume = 19.1 A^3/atom; DFT total energy = -6.996 eV/atom; DFT formation energy = 0.059 eV/atom; DOS at the Fermi energy = 1.22 states/eV per atom
1.0
6.7358 0.0000 0.0000
0.0000 6.7358 0.0000
0.0000 0.0000 6.7358
Hf Ti Nb Hg
4 4 4 4
direct
0.0000 0.0000 0.0000
0.0000 0.5000 0.5000
0.5000 0.0000 0.5000
0.5000 0.5000 0.0000
0.0000 0.0000 0.5000
0.0000 0.5000 0.0000
0.5000 0.0000 0.0000
0.5000 0.5000 0.5000
0.2500 0.2500 0.2500
0.2500 0.7500 0.7500
0.7500 0.2500 0.7500
0.7500 0.7500 0.2500
0.2500 0.2500 0.7500
0.2500 0.7500 0.2500
0.7500 0.2500 0.2500
0.7500 0.7500 0.7500

12.
HfNbHg2W | the Alexandria database | GGA-PBE | optimized geometry; space-group type = P4/mmm, No. 123; volume = 26.2 A^3/atom; DFT total energy = -4.506 eV/atom; DFT formation energy = 2.210 eV/atom; DOS at the Fermi energy = 1.83 states/eV per atom
1.0
5.1892 0.0000 0.0000
0.0000 5.1892 0.0000
0.0000 0.0000 4.8671
Hf Nb Hg W
1 1 2 1
direct
0.0000 0.0000 0.0000
0.0000 0.0000 0.5000
0.0000 0.5000 0.0000
0.5000 0.0000 0.0000
0.5000 0.5000 0.5000